A plane-wave DFT calculation with PBE was carried out for a relaxed structure of Cs2UI3Cl3.

- Crystal system: hexagonal
- Spin magnetization: 0.22 μB/atom
- VASP energy: -36.1 eV per cell

Cell: 4.3590 9.5974 9.5974 Å, 120.00 90.00 90.00°
Sites, in units of the cell vectors:
Cl 0.5000 0.1943 0.1943
Cl 0.5000 0.8057 0.0000
Cl 0.5000 0.0000 0.8057
I 0.0000 0.0000 0.3436
I 0.0000 0.6564 0.6564
I 0.0000 0.3436 0.0000
U 0.0000 0.0000 0.0000
Cs 0.5000 0.6667 0.3333
Cs 0.5000 0.3333 0.6667

---

A plane-wave DFT calculation with PBE was carried out for a relaxed structure of KRbWS4.

- Crystal system: monoclinic
- Spin magnetization: 0.00 μB/atom
- VASP energy: -77.0 eV per cell

Cell: 6.9836 7.0905 9.6345 Å, 90.00 109.10 90.00°
Sites, in units of the cell vectors:
S 0.0068 0.0003 0.7729
S 0.4126 0.7500 0.1670
S 0.6541 0.2500 0.4720
S 0.0068 0.4997 0.7729
S 0.9932 0.5003 0.2271
S 0.9932 0.9997 0.2271
S 0.3459 0.7500 0.5280
S 0.5874 0.2500 0.8330
K 0.2115 0.2500 0.5289
K 0.7885 0.7500 0.4711
W 0.1916 0.7500 0.2878
W 0.8084 0.2500 0.7122
Rb 0.3206 0.2500 0.0874
Rb 0.6794 0.7500 0.9126

---

A plane-wave DFT calculation with PBE was carried out for a relaxed structure of TaIn2P.

- Crystal system: tetragonal
- Spin magnetization: 0.00 μB/atom
- VASP energy: -41.0 eV per cell

Cell: 7.8991 7.8991 6.1992 Å, 50.42 50.42 90.00°
Sites, in units of the cell vectors:
In 0.1535 0.6250 0.2500
In 0.8750 0.8465 0.7500
In 0.5965 0.1250 0.2500
In 0.3750 0.4035 0.7500
P 0.2500 0.7500 0.5000
P 0.5000 0.5000 0.0000
Ta 0.0000 0.0000 0.0000
Ta 0.7500 0.2500 0.5000